The following is a DFT calculation (PBE) of a relaxed TaMn2Ni crystal.

crystal system: monoclinic
E_form: 0.0797 eV per atom
polymorph energy (0 for the lowest one): 131 meV per atom

a b c (Å): 8.824 2.841 4.380
angles (deg): 90.00 106.71 90.00
Space group C2/m (No. 12)
Asymmetric unit:
1 Ta 0.000 0.000 0.000 x2
2 Mn 0.243 0.000 0.728 x4
3 Ni 0.000 0.500 0.500 x2


The following is a DFT calculation (PBE) of a relaxed Er5In2OsRu2 crystal.

crystal system: tetragonal
E_form: -0.2906 eV per atom

a b c (Å): 11.574 11.574 3.446
angles (deg): 90.00 90.00 90.00
Space group P4/mbm (No. 127)
Asymmetric unit:
1 Er 0.000 0.500 0.000 x2
2 Er 0.059 0.196 0.000 x8
3 In 0.184 0.684 0.500 x4
4 Os 0.000 0.000 0.500 x2
5 Ru 0.136 0.364 0.500 x4


The following is a DFT calculation (PBE) of a relaxed CrCuOs2 crystal.

crystal system: orthorhombic
E_form: 0.2608 eV per atom
polymorph energy (0 for the lowest one): 103 meV per atom

a b c (Å): 2.684 3.691 5.329
angles (deg): 90.00 90.00 90.00
Space group Pmmm (No. 47)
Asymmetric unit:
1 Cr 0.000 0.000 0.000 x1
2 Cu 0.000 0.000 0.500 x1
3 Os 0.500 0.500 0.249 x2


The following is a DFT calculation (PBE) of a relaxed InCoCuIr crystal.

crystal system: cubic
E_form: 0.1534 eV per atom

a b c (Å): 6.136 6.136 6.136
angles (deg): 90.00 90.00 90.00
Space group F-43m (No. 216)
Asymmetric unit:
1 In 0.000 0.000 0.000 x4
2 Co 0.250 0.250 0.750 x4
3 Cu 0.250 0.250 0.250 x4
4 Ir 0.000 0.000 0.500 x4


The following is a DFT calculation (PBE) of a relaxed Y2BeIn crystal.

crystal system: trigonal
E_form: -0.0020 eV per atom
polymorph energy (0 for the lowest one): 218 meV per atom

a b c (Å): 3.6503 3.6503 26.7449
angles (deg): 90.00 90.00 120.00
Space group R-3m (No. 166, hexagonal axes)
Asymmetric unit:
1 Y 0.0000 0.0000 0.2372 x6
2 Be 0.0000 0.0000 0.5000 x3
3 In 0.0000 0.0000 0.0000 x3


The following is a DFT calculation (PBE) of a relaxed YTcN3 crystal.

crystal system: orthorhombic
energy relative to the elements, uncorrected: -319 meV per atom

a b c (Å): 3.911 12.099 5.631
angles (deg): 90.00 90.00 90.00
Space group Cmcm (No. 63)
Asymmetric unit:
1 Y 0.000 0.111 0.250 x4
2 Tc 0.000 0.393 0.250 x4
3 N 0.000 0.500 0.000 x4
4 N 0.163 0.229 0.750 x8


The following is a DFT calculation (PBE) of a relaxed Sc2RhSe crystal.

crystal system: trigonal
energy relative to the elements, uncorrected: -523 meV per atom
polymorph energy (0 for the lowest one): 595 meV per atom

a b c (Å): 3.4632 3.4632 24.6642
angles (deg): 90.00 90.00 120.00
Space group R-3m (No. 166, hexagonal axes)
Asymmetric unit:
1 Sc 0.0000 0.0000 0.0951 x6
2 Rh 0.0000 0.0000 0.0000 x3
3 Se 0.0000 0.0000 0.5000 x3


The following is a DFT calculation (PBE) of a relaxed MnPPdCl2 crystal.

crystal system: tetragonal
energy relative to the elements, uncorrected: 315 meV per atom
polymorph energy (0 for the lowest one): 91 meV per atom

a b c (Å): 4.812 4.812 4.834
angles (deg): 90.00 90.00 90.00
Space group P4/mmm (No. 123)
Asymmetric unit:
1 Mn 0.000 0.000 0.000 x1
2 P 0.500 0.500 0.000 x1
3 Pd 0.500 0.500 0.500 x1
4 Cl 0.000 0.500 0.500 x2


The following is a DFT calculation (PBE) of a relaxed PmPrIrPd crystal.

crystal system: cubic
E_form: -0.6925 eV per atom
polymorph energy (0 for the lowest one): 38 meV per atom

a b c (Å): 7.158 7.158 7.158
angles (deg): 90.00 90.00 90.00
Space group F-43m (No. 216)
Asymmetric unit:
1 Pm 0.000 0.000 0.000 x4
2 Pr 0.000 0.000 0.500 x4
3 Ir 0.250 0.250 0.750 x4
4 Pd 0.250 0.250 0.250 x4


The following is a DFT calculation (PBE) of a relaxed Ac2PrNi crystal.

crystal system: orthorhombic
E_form: -0.1285 eV per atom
polymorph energy (0 for the lowest one): 0 meV per atom

a b c (Å): 7.438 10.549 6.800
angles (deg): 90.00 90.00 90.00
Space group Pnma (No. 62)
Asymmetric unit:
1 Ac 0.176 0.070 0.174 x8
2 Pr 0.040 0.250 0.660 x4
3 Ni 0.121 0.750 0.942 x4


The following is a DFT calculation (PBE) of a relaxed K2Np2TiSe6 crystal.

crystal system: monoclinic
energy relative to the elements, uncorrected: -1218 meV per atom

a b c (Å): 6.999 12.000 8.237
angles (deg): 90.00 106.83 90.00
Space group C2/m (No. 12)
Asymmetric unit:
1 K 0.000 0.171 0.000 x4
2 Np 0.000 0.333 0.500 x4
3 Ti 0.000 0.000 0.500 x2
4 Se 0.225 0.156 0.697 x8
5 Se 0.244 0.000 0.304 x4


The following is a DFT calculation (PBE) of a relaxed K2Ho2RuO6 crystal.

crystal system: monoclinic
energy relative to the elements, uncorrected: -2245 meV per atom

a b c (Å): 5.768 9.897 6.575
angles (deg): 90.00 105.41 90.00
Space group C2/m (No. 12)
Asymmetric unit:
1 K 0.000 0.161 0.000 x4
2 Ho 0.000 0.336 0.500 x4
3 Ru 0.000 0.000 0.500 x2
4 O 0.205 0.156 0.672 x8
5 O 0.248 0.500 0.675 x4


The following is a DFT calculation (PBE) of a relaxed SrNiMo2 crystal.

crystal system: trigonal
E_form: 0.9707 eV per atom
polymorph energy (0 for the lowest one): 519 meV per atom

a b c (Å): 2.8388 2.8388 30.4592
angles (deg): 90.00 90.00 120.00
Space group R-3m (No. 166, hexagonal axes)
Asymmetric unit:
1 Sr 0.0000 0.0000 0.0000 x3
2 Ni 0.0000 0.0000 0.5000 x3
3 Mo 0.0000 0.0000 0.2352 x6


Number 1: final energy -71.3 eV for the cell shown. Number 2: final energy -122.0 eV for the cell shown. Number 3: final energy -35.1 eV for the cell shown. Number 4: final energy -88.8 eV for the cell shown. Number 5: final energy -58.2 eV for the cell shown. Number 6: final energy -173.6 eV for the cell shown. Number 7: final energy -76.8 eV for the cell shown. Number 8: final energy -21.9 eV for the cell shown. Number 9: final energy -105.4 eV for the cell shown. Number 10: final energy -77.2 eV for the cell shown. Number 11: final energy -140.5 eV for the cell shown. Number 12: final energy -150.1 eV for the cell shown. Number 13: final energy -75.7 eV for the cell shown.